DFT (meta-GGA SCAN) results for a PBEsol-optimized structure of CaSbPb.

Geometry as POSCAR:
```
CaSbPb
1.0
-2.4849 -1.5151 -2.7676
3.1449 -1.4743 -2.0165
-0.6663 -3.0044 5.1570
Ca Sb Pb
1 1 1
direct
0.9941 0.9941 0.9883
0.3242 0.3242 0.6484
0.6817 0.6817 0.3633
```

Output
Raw formation energy: -0.45 eV/atom
V: 28.5 A^3/atom
DOS at the Fermi energy: 1.9 states/eV/f.u.

DFT (meta-GGA SCAN) results for a PBEsol-optimized structure of CaSb2Pb.

Geometry as POSCAR:
```
CaSb2Pb
1.0
-4.4274 2.5263 -1.8306
-4.6999 -2.6713 -0.3320
-4.0397 1.1935 3.4047
Pb Sb Ca
1 2 1
direct
0.2500 0.2500 0.2500
0.0000 0.0000 0.0000
0.7500 0.7500 0.7500
0.5000 0.5000 0.5000
```

Output
Raw formation energy: -0.23 eV/atom
V: 28.1 A^3/atom
DOS at the Fermi energy: 2.2 states/eV/f.u.

DFT (meta-GGA SCAN) results for a PBEsol-optimized structure of CaSb2Pb.

Geometry as POSCAR:
```
CaSb2Pb
1.0
4.2101 0.0000 0.0000
0.0000 5.1902 0.0879
0.0000 -1.0866 5.0759
Sb Ca Pb
2 1 1
direct
0.0000 0.5000 0.0000
0.0000 0.0000 0.5000
0.5000 0.5000 0.5000
0.5000 0.0000 0.0000
```

Output
Raw formation energy: -0.44 eV/atom
V: 27.8 A^3/atom
DOS at the Fermi energy: 2.2 states/eV/f.u.

DFT (meta-GGA SCAN) results for a PBEsol-optimized structure of CaSb2Pb.

Geometry as POSCAR:
```
CaSb2Pb
1.0
7.8368 0.0000 0.0000
-3.9184 5.9442 0.9861
0.0000 4.0533 6.7072
Pb Ca Sb
2 2 4
direct
0.0000 0.0000 0.0000
0.7500 0.5000 0.7500
0.2500 0.5000 0.2500
0.5000 0.0000 0.5000
0.0988 0.7500 0.8750
0.6512 0.7500 0.3750
0.3750 0.2500 0.0988
0.8750 0.2500 0.6512
```

Output
Raw formation energy: -0.21 eV/atom
V: 35.1 A^3/atom
DOS at the Fermi energy: 0.8 states/eV/f.u.

DFT (meta-GGA SCAN) results for a PBEsol-optimized structure of CaSb2Pb.

Geometry as POSCAR:
```
CaSb2Pb
1.0
-3.9584 -0.4134 -0.9254
1.2350 -1.6740 -4.5352
1.4496 -4.0589 4.6336
Pb Sb Ca
1 2 1
direct
0.2669 0.7670 0.5338
0.7272 0.2259 0.4544
0.0052 0.0058 0.0103
0.5008 0.5012 0.0015
```

Output
Raw formation energy: -0.42 eV/atom
V: 27.8 A^3/atom
DOS at the Fermi energy: 1.9 states/eV/f.u.

DFT (meta-GGA SCAN) results for a PBEsol-optimized structure of CaSb2Pb.

Geometry as POSCAR:
```
CaSb2Pb
1.0
4.9204 0.0000 0.0000
0.0000 4.9262 0.0000
-2.4602 -2.4631 4.5651
Ca Sb Pb
1 2 1
direct
0.5000 0.0000 0.0000
0.7500 0.7500 0.5000
0.2500 0.2500 0.5000
0.0000 0.5000 0.0000
```

Output
Raw formation energy: -0.40 eV/atom
V: 27.7 A^3/atom
DOS at the Fermi energy: 1.7 states/eV/f.u.

DFT (meta-GGA SCAN) results for a PBEsol-optimized structure of CaSb2Pb.

Geometry as POSCAR:
```
CaSb2Pb
1.0
-2.6949 -1.3012 3.2563
-3.3175 -1.5601 -3.3689
2.1427 -4.5014 -0.0254
Pb Sb Ca
1 2 1
direct
0.5000 0.0000 0.5000
0.0000 0.5000 0.5000
0.0000 0.0000 0.0000
0.5000 0.5000 0.0000
```

Output
Raw formation energy: -0.43 eV/atom
V: 27.4 A^3/atom
DOS at the Fermi energy: 2.2 states/eV/f.u.

DFT (meta-GGA SCAN) results for a PBEsol-optimized structure of Ca2Sb2Pb.

Geometry as POSCAR:
```
Ca2Sb2Pb
1.0
-1.2844 -3.1590 -1.2007
-2.8329 -1.9966 8.2834
-7.9010 3.8835 -1.7660
Sb Ca Pb
4 4 2
direct
0.0000 0.8393 0.6607
0.0000 0.3393 0.8393
0.0000 0.1607 0.3393
0.0000 0.6607 0.1607
0.5000 0.8608 0.3608
0.5000 0.3608 0.1392
0.5000 0.6392 0.8608
0.5000 0.1392 0.6392
0.0000 0.0000 0.0000
0.0000 0.5000 0.5000
```

Output
Raw formation energy: -0.73 eV/atom
V: 29.1 A^3/atom
DOS at the Fermi energy: 1.4 states/eV/f.u.